# PBE-GGA Ho7Rh3, optimized geometry
data_Ho7Rh3
_symmetry_space_group_name_H-M 'P 63 m c'
_symmetry_Int_Tables_number 186
_symmetry_space_group_name_Hall 'P 6c -2c'
_cell_length_a 9.7479
_cell_length_b 9.7479
_cell_length_c 6.1444
_cell_angle_alpha 90.00
_cell_angle_beta 90.00
_cell_angle_gamma 120.00
loop_
_atom_site_label
_atom_site_fract_x
_atom_site_fract_y
_atom_site_fract_z
Ho1 0.0825 0.5413 0.0000
Ho2 0.1234 0.2469 0.3058
Ho3 0.3333 0.6667 0.5102
Rh1 0.1900 0.3799 0.7349
# N(E_F) (states/eV/cell): 11.38
# Formation energy from the elements (meV/atom): -639
# Crystal system: hexagonal
# Density (g/cm3): 9.61
# Spin magnetization (μB per atom): 0.00